(1)
The following is a PBE-GGA calculation of TaTl2P after structural relaxation, from Alexandria.

Geometry as CIF:
```
data_TaTl2P
_chemical_formula_sum 'Ta1 Tl2 P1'
_cell_length_a 3.981
_cell_length_b 3.981
_cell_length_c 5.434
_cell_angle_alpha 90.00
_cell_angle_beta 90.00
_cell_angle_gamma 90.00
_space_group_name_H-M_alt 'P 1'
_space_group_IT_number 1
loop_
_space_group_symop_operation_xyz
'x,y,z'
loop_
_atom_site_label
_atom_site_type_symbol
_atom_site_fract_x
_atom_site_fract_y
_atom_site_fract_z
Ta1 Ta 0.500 0.500 0.500
Tl1 Tl 0.000 0.000 0.750
Tl2 Tl 0.000 0.000 0.250
P1 P 0.500 0.500 0.000
```

volume = 21.5 Å³/atom
symmetry = P4/mmm
N(E_F) = 2.2 states/eV/cell

---

(2)
The following is a PBE-GGA calculation of TaTl2P after structural relaxation, from Alexandria.

Geometry as CIF:
```
data_TaTl2P
_chemical_formula_sum 'Ta1 Tl2 P1'
_cell_length_a 3.064
_cell_length_b 3.064
_cell_length_c 9.133
_cell_angle_alpha 90.00
_cell_angle_beta 90.00
_cell_angle_gamma 90.00
_space_group_name_H-M_alt 'P 1'
_space_group_IT_number 1
loop_
_space_group_symop_operation_xyz
'x,y,z'
loop_
_atom_site_label
_atom_site_type_symbol
_atom_site_fract_x
_atom_site_fract_y
_atom_site_fract_z
Ta1 Ta 0.500 0.500 0.500
Tl1 Tl 0.000 0.000 0.753
Tl2 Tl 0.000 0.000 0.247
P1 P 0.500 0.500 0.000
```

volume = 21.4 Å³/atom
symmetry = P4/mmm
N(E_F) = 3.6 states/eV/cell

---

(3)
The following is a PBE-GGA calculation of TaTl2P after structural relaxation, from Alexandria.

Geometry as CIF:
```
data_TaTl2P
_chemical_formula_sum 'Ta1 Tl2 P1'
_cell_length_a 3.126
_cell_length_b 3.126
_cell_length_c 9.200
_cell_angle_alpha 90.00
_cell_angle_beta 90.00
_cell_angle_gamma 108.46
_space_group_name_H-M_alt 'P 1'
_space_group_IT_number 1
loop_
_space_group_symop_operation_xyz
'x,y,z'
loop_
_atom_site_label
_atom_site_type_symbol
_atom_site_fract_x
_atom_site_fract_y
_atom_site_fract_z
Ta1 Ta 0.500 0.500 0.000
Tl1 Tl 0.000 0.000 0.258
Tl2 Tl 0.000 0.000 0.742
P1 P 0.500 0.500 0.500
```

volume = 21.3 Å³/atom
symmetry = Cmmm
N(E_F) = 2.3 states/eV/cell

---

(4)
The following is a PBE-GGA calculation of TaTl2P after structural relaxation, from Alexandria.

Geometry as CIF:
```
data_TaTl2P
_chemical_formula_sum 'Ta1 Tl2 P1'
_cell_length_a 6.066
_cell_length_b 6.066
_cell_length_c 3.478
_cell_angle_alpha 74.36
_cell_angle_beta 74.36
_cell_angle_gamma 124.15
_space_group_name_H-M_alt 'P 1'
_space_group_IT_number 1
loop_
_space_group_symop_operation_xyz
'x,y,z'
loop_
_atom_site_label
_atom_site_type_symbol
_atom_site_fract_x
_atom_site_fract_y
_atom_site_fract_z
Ta1 Ta 0.500 0.500 0.500
Tl1 Tl 0.000 0.500 0.000
Tl2 Tl 0.500 0.000 0.000
P1 P 0.000 0.000 0.500
```

volume = 21.6 Å³/atom
symmetry = C2/m
N(E_F) = 2.5 states/eV/cell

---

Relative energies, unit meV per atom: (1) 23; (2) 157; (3) 83; (4) 0

---

(1)
The following is a PBE-GGA calculation of TaTl2P after structural relaxation, from Alexandria.

Geometry as CIF:
```
data_TaTl2P
_chemical_formula_sum 'Ta1 Tl2 P1'
_cell_length_a 5.570
_cell_length_b 5.570
_cell_length_c 5.570
_cell_angle_alpha 135.39
_cell_angle_beta 135.39
_cell_angle_gamma 64.92
_space_group_name_H-M_alt 'P 1'
_space_group_IT_number 1
loop_
_space_group_symop_operation_xyz
'x,y,z'
loop_
_atom_site_label
_atom_site_type_symbol
_atom_site_fract_x
_atom_site_fract_y
_atom_site_fract_z
Ta1 Ta 0.750 0.250 0.500
Tl1 Tl 0.000 0.000 0.000
Tl2 Tl 0.250 0.750 0.500
P1 P 0.500 0.500 0.000
```

volume = 21.0 Å³/atom
symmetry = I-4m2
N(E_F) = 2.1 states/eV/cell

---

(2)
The following is a PBE-GGA calculation of TaTl2P after structural relaxation, from Alexandria.

Geometry as CIF:
```
data_TaTl2P
_chemical_formula_sum 'Ta1 Tl2 P1'
_cell_length_a 6.226
_cell_length_b 6.226
_cell_length_c 6.226
_cell_angle_alpha 149.36
_cell_angle_beta 131.97
_cell_angle_gamma 58.06
_space_group_name_H-M_alt 'P 1'
_space_group_IT_number 1
loop_
_space_group_symop_operation_xyz
'x,y,z'
loop_
_atom_site_label
_atom_site_type_symbol
_atom_site_fract_x
_atom_site_fract_y
_atom_site_fract_z
Ta1 Ta 0.210 0.210 0.000
Tl1 Tl 0.477 0.977 0.500
Tl2 Tl 0.766 0.766 0.000
P1 P 0.047 0.547 0.500
```

volume = 22.7 Å³/atom
symmetry = Imm2
N(E_F) = 2.7 states/eV/cell

---

(3)
The following is a PBE-GGA calculation of TaTl2P after structural relaxation, from Alexandria.

Geometry as CIF:
```
data_TaTl2P
_chemical_formula_sum 'Ta1 Tl2 P1'
_cell_length_a 5.455
_cell_length_b 5.455
_cell_length_c 3.041
_cell_angle_alpha 90.00
_cell_angle_beta 90.00
_cell_angle_gamma 111.79
_space_group_name_H-M_alt 'P 1'
_space_group_IT_number 1
loop_
_space_group_symop_operation_xyz
'x,y,z'
loop_
_atom_site_label
_atom_site_type_symbol
_atom_site_fract_x
_atom_site_fract_y
_atom_site_fract_z
Ta1 Ta 0.500 0.500 0.500
Tl1 Tl 0.500 0.000 0.000
Tl2 Tl 0.000 0.500 0.000
P1 P 0.000 0.000 0.500
```

volume = 21.0 Å³/atom
symmetry = Cmmm
N(E_F) = 2.7 states/eV/cell

---

Relative energies, unit meV per atom: (1) 443; (2) 0; (3) 411

---

(1)
The following is a PBE-GGA calculation of TaTl2P after structural relaxation, from Alexandria.

Geometry as CIF:
```
data_TaTl2P
_chemical_formula_sum 'Ta1 Tl2 P1'
_cell_length_a 3.433
_cell_length_b 4.894
_cell_length_c 5.207
_cell_angle_alpha 74.26
_cell_angle_beta 90.00
_cell_angle_gamma 90.00
_space_group_name_H-M_alt 'P 1'
_space_group_IT_number 1
loop_
_space_group_symop_operation_xyz
'x,y,z'
loop_
_atom_site_label
_atom_site_type_symbol
_atom_site_fract_x
_atom_site_fract_y
_atom_site_fract_z
Ta1 Ta 0.000 0.500 0.500
Tl1 Tl 0.000 0.000 0.000
Tl2 Tl 0.500 0.500 0.000
P1 P 0.500 0.000 0.500
```

volume = 21.0 Å³/atom
symmetry = P2/m
N(E_F) = 3.6 states/eV/cell

---

(2)
The following is a PBE-GGA calculation of TaTl2P after structural relaxation, from Alexandria.

Geometry as CIF:
```
data_TaTl2P
_chemical_formula_sum 'Ta1 Tl2 P1'
_cell_length_a 5.018
_cell_length_b 5.018
_cell_length_c 5.018
_cell_angle_alpha 60.00
_cell_angle_beta 60.00
_cell_angle_gamma 60.00
_space_group_name_H-M_alt 'P 1'
_space_group_IT_number 1
loop_
_space_group_symop_operation_xyz
'x,y,z'
loop_
_atom_site_label
_atom_site_type_symbol
_atom_site_fract_x
_atom_site_fract_y
_atom_site_fract_z
P1 P 0.000 0.000 0.000
Tl1 Tl 0.250 0.250 0.250
Tl2 Tl 0.750 0.750 0.750
Ta1 Ta 0.500 0.500 0.500
```

volume = 22.3 Å³/atom
symmetry = Fm-3m
N(E_F) = 3.5 states/eV/cell

---

(3)
The following is a PBE-GGA calculation of TaTl2P after structural relaxation, from Alexandria.

Geometry as CIF:
```
data_TaTl2P
_chemical_formula_sum 'Ta1 Tl2 P1'
_cell_length_a 9.353
_cell_length_b 9.353
_cell_length_c 9.353
_cell_angle_alpha 21.07
_cell_angle_beta 21.07
_cell_angle_gamma 21.07
_space_group_name_H-M_alt 'P 1'
_space_group_IT_number 1
loop_
_space_group_symop_operation_xyz
'x,y,z'
loop_
_atom_site_label
_atom_site_type_symbol
_atom_site_fract_x
_atom_site_fract_y
_atom_site_fract_z
Ta1 Ta 0.236 0.236 0.236
Tl1 Tl 0.990 0.990 0.990
Tl2 Tl 0.758 0.758 0.758
P1 P 0.517 0.517 0.517
```

volume = 23.1 Å³/atom
symmetry = R3m
N(E_F) = 1.8 states/eV/cell

---

(4)
The following is a PBE-GGA calculation of TaTl2P after structural relaxation, from Alexandria.

Geometry as CIF:
```
data_TaTl2P
_chemical_formula_sum 'Ta1 Tl2 P1'
_cell_length_a 3.282
_cell_length_b 4.865
_cell_length_c 5.341
_cell_angle_alpha 90.00
_cell_angle_beta 90.00
_cell_angle_gamma 90.00
_space_group_name_H-M_alt 'P 1'
_space_group_IT_number 1
loop_
_space_group_symop_operation_xyz
'x,y,z'
loop_
_atom_site_label
_atom_site_type_symbol
_atom_site_fract_x
_atom_site_fract_y
_atom_site_fract_z
Ta1 Ta 0.000 0.500 0.500
Tl1 Tl 0.000 0.000 0.000
Tl2 Tl 0.500 0.500 0.000
P1 P 0.500 0.000 0.500
```

volume = 21.3 Å³/atom
symmetry = Pmmm
N(E_F) = 3.5 states/eV/cell

---

Relative energies, unit meV per atom: (1) 631; (2) 1017; (3) 0; (4) 655